Below is a PBEsol-optimized structure of SnGeAu2, with properties calculated at the meta-GGA SCAN level.

a = 6.784 Å, b = 6.784 Å, c = 6.784 Å
α = 90.00°, β = 90.00°, γ = 90.00°
Element x y z (fractional)
Sn (0.000, 0.000, 0.000)
Sn (0.000, 0.500, 0.500)
Sn (0.500, 0.000, 0.500)
Sn (0.500, 0.500, 0.000)
Ge (0.000, 0.000, 0.500)
Ge (0.000, 0.500, 0.000)
Ge (0.500, 0.000, 0.000)
Ge (0.500, 0.500, 0.500)
Au (0.250, 0.250, 0.250)
Au (0.250, 0.250, 0.750)
Au (0.250, 0.750, 0.250)
Au (0.250, 0.750, 0.750)
Au (0.750, 0.250, 0.250)
Au (0.750, 0.250, 0.750)
Au (0.750, 0.750, 0.250)
Au (0.750, 0.750, 0.750)

Results
**Distance to the lowest polymorph of the same formula**: 220.9 meV per atom
**Energy of formation**: 0.15 eV/atom
**Calculated total energy**: -48.183 eV/atom



Below is a PBEsol-optimized structure of Be2AlCoAu, with properties calculated at the meta-GGA SCAN level.

a = 4.167 Å, b = 4.167 Å, c = 4.127 Å
α = 90.00°, β = 90.00°, γ = 90.00°
Element x y z (fractional)
Be (0.000, 0.500, 0.000)
Be (0.500, 0.000, 0.000)
Al (0.000, 0.000, 0.000)
Co (0.000, 0.000, 0.500)
Au (0.500, 0.500, 0.500)

Results
**Energy of formation**: 1.04 eV/atom
**Calculated total energy**: -19.548 eV/atom



Below is a PBEsol-optimized structure of LiRuW2, with properties calculated at the meta-GGA SCAN level.

a = 5.241 Å, b = 8.563 Å, c = 2.668 Å
α = 90.00°, β = 107.59°, γ = 90.00°
Element x y z (fractional)
Li (0.000, 0.000, 0.000)
Li (0.500, 0.500, 0.000)
Ru (0.000, 0.500, 0.000)
Ru (0.500, 0.000, 0.000)
W (0.250, 0.250, 0.500)
W (0.250, 0.750, 0.500)
W (0.750, 0.250, 0.500)
W (0.750, 0.750, 0.500)

Results
**Energy of formation**: 0.32 eV/atom
**Calculated total energy**: -43.828 eV/atom